<A>
{
  "formula": "Sm2Mg",
  "functional": "meta-GGA SCAN",
  "state": "PBEsol geometry",
  "lattice": [[3.5606, 0.0000, 0.0000], [0.0000, 3.5606, 0.0000], [-1.7803, -1.7803, 6.8548]],
  "species": ["Mg", "Sm", "Sm"],
  "fractional_positions": [[0.5000, 0.5000, 0.0000], [0.1619, 0.1619, 0.3239], [0.8381, 0.8381, 0.6761]],
  "spacegroup": "I4/mmm"
}

***

<B>
{
  "formula": "Sm2Mg",
  "functional": "meta-GGA SCAN",
  "state": "PBEsol geometry",
  "lattice": [[-1.5856, -0.2686, 3.3546], [3.7986, -3.6656, 1.5020], [5.7625, 6.4542, 1.1776]],
  "species": ["Mg", "Mg", "Sm", "Sm", "Sm", "Sm"],
  "fractional_positions": [[0.5683, 0.7500, 0.1365], [0.4317, 0.2500, 0.8635], [0.2287, 0.7500, 0.4575], [0.9103, 0.7500, 0.8206], [0.0897, 0.2500, 0.1794], [0.7713, 0.2500, 0.5425]],
  "spacegroup": "Cmcm"
}

***

Which of them is least stable? Easy: <A>.

***

<A>
{
  "formula": "Mg5Sn",
  "functional": "meta-GGA SCAN",
  "state": "PBEsol geometry",
  "lattice": [[5.4817, 0.0000, 0.0000], [2.7408, 4.7473, 0.0000], [2.7408, 1.5824, 5.1955]],
  "species": ["Sn", "Mg", "Mg", "Mg", "Mg", "Mg"],
  "fractional_positions": [[0.5000, 0.5000, 0.5000], [0.0000, 0.3337, 0.0000], [0.8327, 0.8327, 0.5018], [0.6663, 0.0000, 0.0000], [0.1673, 0.1673, 0.4982], [0.3337, 0.6663, 0.0000]],
  "spacegroup": "R32"
}

***

<B>
{
  "formula": "Mg5Sn",
  "functional": "meta-GGA SCAN",
  "state": "PBEsol geometry",
  "lattice": [[3.2494, 0.0000, 0.0000], [-1.6247, 5.8045, -0.2008], [0.0000, -1.8971, 7.2945]],
  "species": ["Mg", "Mg", "Mg", "Mg", "Mg", "Sn"],
  "fractional_positions": [[0.3313, 0.6627, 0.6697], [0.0010, 0.0020, 0.9998], [0.0532, 0.1065, 0.6080], [0.7210, 0.4419, 0.9436], [0.6697, 0.3394, 0.3339], [0.3905, 0.7809, 0.2784]],
  "spacegroup": "Cm"
}

***

Which of them is least stable? Easy: <B>.

***

<A>
{
  "formula": "Sr4Mg3",
  "functional": "meta-GGA SCAN",
  "state": "PBEsol geometry",
  "lattice": [[6.5987, 0.0000, 0.0000], [-3.2993, 5.7146, 0.0000], [0.0000, 0.0000, 7.0506]],
  "species": ["Mg", "Mg", "Mg", "Sr", "Sr", "Sr", "Sr"],
  "fractional_positions": [[0.5000, 0.0000, 0.0000], [0.0000, 0.5000, 0.0000], [0.5000, 0.5000, 0.0000], [0.6667, 0.3333, 0.5000], [0.3333, 0.6667, 0.5000], [0.0000, 0.0000, 0.2418], [0.0000, 0.0000, 0.7582]],
  "spacegroup": "P6/mmm"
}

***

<B>
{
  "formula": "Sr4Mg3",
  "functional": "meta-GGA SCAN",
  "state": "PBEsol geometry",
  "lattice": [[4.0302, 0.0000, 0.0000], [0.0000, 4.0302, 0.0000], [-2.0151, -2.0151, 16.4067]],
  "species": ["Mg", "Mg", "Mg", "Sr", "Sr", "Sr", "Sr"],
  "fractional_positions": [[0.7278, 0.7278, 0.4556], [0.0000, 0.0000, 0.0000], [0.2722, 0.2722, 0.5444], [0.1607, 0.1607, 0.3214], [0.5647, 0.5647, 0.1293], [0.4353, 0.4353, 0.8707], [0.8393, 0.8393, 0.6786]],
  "spacegroup": "I4/mmm"
}

***

Which of them is least stable? Easy: <A>.

***

<A>
{
  "formula": "Sr4Mg",
  "functional": "meta-GGA SCAN",
  "state": "PBEsol geometry",
  "lattice": [[-3.9350, -1.5839, -0.0871], [0.3410, -6.2914, -4.3300], [-0.4801, -4.8149, 5.9189]],
  "species": ["Sr", "Sr", "Sr", "Sr", "Mg"],
  "fractional_positions": [[0.5767, 0.1926, 0.6539], [0.7694, 0.6539, 0.8074], [0.4233, 0.8074, 0.3461], [0.2306, 0.3461, 0.1926], [0.0000, 0.0000, 0.0000]],
  "spacegroup": "I4/m"
}

***

<B>
{
  "formula": "Sr4Mg",
  "functional": "meta-GGA SCAN",
  "state": "PBEsol geometry",
  "lattice": [[6.9517, 0.0000, 0.0000], [-2.3172, 6.5541, 0.0000], [-2.3172, -3.2770, 5.6760]],
  "species": ["Sr", "Sr", "Sr", "Sr", "Mg"],
  "fractional_positions": [[0.0000, 0.5000, 0.0000], [0.0000, 0.0000, 0.5000], [0.5000, 0.5000, 0.5000], [0.5000, 0.0000, 0.0000], [0.0000, 0.0000, 0.0000]],
  "spacegroup": "Im-3m"
}

***

Which of them is least stable? Easy: <B>.

***

<A>
{
  "formula": "SrMg2Ta",
  "functional": "meta-GGA SCAN",
  "state": "PBEsol geometry",
  "lattice": [[-1.1851, -2.4865, 1.4336], [5.1143, -2.0739, 0.6308], [-1.5143, 4.8702, 3.8323]],
  "species": ["Ta", "Sr", "Mg", "Mg"],
  "fractional_positions": [[0.2733, 0.7733, 0.5467], [0.5012, 0.5012, 0.0023], [0.7312, 0.2312, 0.4624], [0.9943, 0.9943, 0.9886]],
  "spacegroup": "Imm2"
}

***

<B>
{
  "formula": "SrMg2Ta",
  "functional": "meta-GGA SCAN",
  "state": "PBEsol geometry",
  "lattice": [[3.1347, 0.0000, 0.0000], [0.0000, 5.4006, 0.0000], [0.0000, 0.0000, 5.6310]],
  "species": ["Ta", "Mg", "Mg", "Sr"],
  "fractional_positions": [[0.0000, 0.5000, 0.5000], [0.5000, 0.5000, 0.0000], [0.0000, 0.0000, 0.0000], [0.5000, 0.0000, 0.5000]],
  "spacegroup": "Pmmm"
}

***

Which of them is least stable? Easy: <B>.

***

<A>
{
  "formula": "Sr2MgTe",
  "functional": "meta-GGA SCAN",
  "state": "PBEsol geometry",
  "lattice": [[4.1135, 0.0000, 0.0000], [0.0000, 5.4169, 0.0000], [-2.0568, -2.7084, 6.1843]],
  "species": ["Sr", "Sr", "Mg", "Te"],
  "fractional_positions": [[0.7832, 0.2832, 0.5663], [0.9958, 0.9958, 0.9916], [0.2101, 0.7101, 0.4202], [0.5109, 0.5109, 0.0219]],
  "spacegroup": "Imm2"
}

***

<B>
{
  "formula": "Sr2MgTe",
  "functional": "meta-GGA SCAN",
  "state": "PBEsol geometry",
  "lattice": [[5.1691, 0.0000, 0.0000], [0.0000, 5.1561, 0.0000], [-2.5846, -2.5780, 4.9520]],
  "species": ["Mg", "Sr", "Sr", "Te"],
  "fractional_positions": [[0.0000, 0.5000, 0.0000], [0.7497, 0.7497, 0.4994], [0.2503, 0.2503, 0.5006], [0.5000, 0.0000, 0.0000]],
  "spacegroup": "Immm"
}

***

Which of them is least stable? Easy: <B>.

***

<A>
{
  "formula": "SrMg2Tl",
  "functional": "meta-GGA SCAN",
  "state": "PBEsol geometry",
  "lattice": [[-1.7274, -2.1614, -2.7422], [-0.3145, -2.9507, 2.5238], [-6.7610, 2.6063, 2.2045]],
  "species": ["Mg", "Mg", "Sr", "Tl"],
  "fractional_positions": [[0.0000, 0.0000, 0.7054], [0.0000, 0.0000, 0.2946], [0.5000, 0.5000, 0.0000], [0.5000, 0.5000, 0.5000]],
  "spacegroup": "P4/mmm"
}

***

<B>
{
  "formula": "SrMg2Tl",
  "functional": "meta-GGA SCAN",
  "state": "PBEsol geometry",
  "lattice": [[5.3417, 0.0000, 0.0000], [2.6708, 4.6260, 0.0000], [2.6708, 1.5420, 4.3615]],
  "species": ["Sr", "Mg", "Mg", "Tl"],
  "fractional_positions": [[0.2500, 0.2500, 0.2500], [0.0000, 0.0000, 0.0000], [0.7500, 0.7500, 0.7500], [0.5000, 0.5000, 0.5000]],
  "spacegroup": "F-43m"
}

***

Which of them is least stable? Easy: <A>.

***

<A>
{
  "formula": "SrMgW3",
  "functional": "meta-GGA SCAN",
  "state": "PBEsol geometry",
  "lattice": [[4.7612, 0.0000, 0.0000], [0.0000, 4.7612, 0.0000], [0.0000, 0.0000, 4.7612]],
  "species": ["W", "W", "W", "Mg", "Sr"],
  "fractional_positions": [[0.0000, 0.5000, 0.0000], [0.0000, 0.0000, 0.5000], [0.5000, 0.0000, 0.0000], [0.0000, 0.0000, 0.0000], [0.5000, 0.5000, 0.5000]],
  "spacegroup": "Pm-3m"
}

***

<B>
{
  "formula": "SrMgW3",
  "functional": "meta-GGA SCAN",
  "state": "PBEsol geometry",
  "lattice": [[-3.5670, 2.3997, 2.0836], [1.3415, -1.7025, 4.2573], [2.8810, 3.7638, 0.5973]],
  "species": ["W", "W", "W", "Mg", "Sr"],
  "fractional_positions": [[0.0000, 0.0000, 0.5000], [0.5000, 0.0000, 0.0000], [0.0000, 0.5000, 0.0000], [0.5000, 0.5000, 0.5000], [0.0000, 0.0000, 0.0000]],
  "spacegroup": "Pm-3m"
}

***

Which of them is least stable? Easy: <B>.

***

<A>
{
  "formula": "SrMg2Zr",
  "functional": "meta-GGA SCAN",
  "state": "PBEsol geometry",
  "lattice": [[-0.5232, 0.7549, 3.2087], [-3.0995, 0.5783, 1.0943], [-2.3945, -10.3607, 3.7828]],
  "species": ["Sr", "Zr", "Mg", "Mg"],
  "fractional_positions": [[0.5000, 0.5000, 0.5000], [0.0000, 0.0000, 0.0000], [0.2571, 0.2571, 0.2287], [0.7429, 0.7429, 0.7713]],
  "spacegroup": "R-3m"
}

***

<B>
{
  "formula": "SrMg2Zr",
  "functional": "meta-GGA SCAN",
  "state": "PBEsol geometry",
  "lattice": [[-0.3119, -3.1240, -1.5614], [5.0074, 0.5390, -2.0787], [-0.1813, -1.2082, 6.3906]],
  "species": ["Mg", "Mg", "Sr", "Zr"],
  "fractional_positions": [[0.7302, 0.7302, 0.4603], [0.2698, 0.2698, 0.5397], [0.5000, 0.0000, 0.0000], [0.0000, 0.5000, 0.0000]],
  "spacegroup": "Immm"
}

***

Which of them is least stable? Easy: <B>.

***

<A>
{
  "formula": "MgTaTc",
  "functional": "meta-GGA SCAN",
  "state": "PBEsol geometry",
  "lattice": [[-2.1767, -1.6171, -0.8292], [0.7608, -0.5378, 2.6781], [-3.6618, 5.8331, 1.2719]],
  "species": ["Tc", "Ta", "Mg"],
  "fractional_positions": [[0.3266, 0.3266, 0.6533], [0.6800, 0.6800, 0.3600], [0.9934, 0.9934, 0.9868]],
  "spacegroup": "Fmm2"
}

***

<B>
{
  "formula": "MgTaTc",
  "functional": "meta-GGA SCAN",
  "state": "PBEsol geometry",
  "lattice": [[-2.4918, -1.1022, 0.8377], [2.1252, 0.3066, 1.8749], [-2.3570, 6.5456, 1.6013]],
  "species": ["Ta", "Tc", "Mg"],
  "fractional_positions": [[0.6667, 0.3333, 0.6508], [0.3333, 0.6667, 0.3352], [0.0000, 0.0000, 0.0139]],
  "spacegroup": "P3m1"
}

***

Which of them is least stable? Easy: <B>.

***

<A>
{
  "formula": "MgTcTe",
  "functional": "meta-GGA SCAN",
  "state": "PBEsol geometry",
  "lattice": [[3.1034, -0.0037, 0.0000], [-1.3206, 2.8084, 0.0000], [-0.8914, -1.4024, 6.8552]],
  "species": ["Te", "Tc", "Mg"],
  "fractional_positions": [[0.6854, 0.6854, 0.3708], [0.3308, 0.3308, 0.6615], [0.9838, 0.9838, 0.9676]],
  "spacegroup": "Fmm2"
}

***

<B>
{
  "formula": "MgTcTe",
  "functional": "meta-GGA SCAN",
  "state": "PBEsol geometry",
  "lattice": [[-3.6235, 2.4915, -0.2741], [-3.9824, -1.8744, 0.1981], [-2.5396, 0.5929, 3.5512]],
  "species": ["Te", "Tc", "Mg"],
  "fractional_positions": [[0.5000, 0.5000, 0.5000], [0.0000, 0.0000, 0.0000], [0.2500, 0.2500, 0.2500]],
  "spacegroup": "F-43m"
}

***

Which of them is least stable? Easy: <B>.

***

<A>
{
  "formula": "Mg2TlTc",
  "functional": "meta-GGA SCAN",
  "state": "PBEsol geometry",
  "lattice": [[2.8682, 0.0000, 0.0000], [0.0000, 4.8447, 0.0000], [0.0000, 0.0000, 5.2931]],
  "species": ["Tl", "Mg", "Mg", "Tc"],
  "fractional_positions": [[0.5000, 0.5000, 0.2295], [0.0000, 0.5000, 0.7048], [0.0000, 0.0000, 0.0264], [0.5000, 0.0000, 0.5394]],
  "spacegroup": "Pmm2"
}

***

<B>
{
  "formula": "Mg2TlTc",
  "functional": "meta-GGA SCAN",
  "state": "PBEsol geometry",
  "lattice": [[2.9215, 0.0362, 0.0544], [-0.0513, 5.2145, -0.0060], [-0.0513, -2.0189, 4.8078]],
  "species": ["Tl", "Tc", "Mg", "Mg"],
  "fractional_positions": [[0.5000, 0.0000, 0.0000], [0.5000, 0.5000, 0.5000], [0.0000, 0.0000, 0.5000], [0.0000, 0.5000, 0.0000]],
  "spacegroup": "C2/m"
}

***

<C>
{
  "formula": "Mg2TlTc",
  "functional": "meta-GGA SCAN",
  "state": "PBEsol geometry",
  "lattice": [[-2.8244, -1.4279, -3.4141], [-1.0930, -4.5089, -0.3839], [-4.3123, -1.4428, 0.9970]],
  "species": ["Tl", "Mg", "Mg", "Tc"],
  "fractional_positions": [[0.5000, 0.5000, 0.5000], [0.2500, 0.2500, 0.2500], [0.7500, 0.7500, 0.7500], [0.0000, 0.0000, 0.0000]],
  "spacegroup": "Fm-3m"
}

***

Which of them is least stable? Easy: <C>.